Entry 1:
# Be2ZnCd, optimized geometry, DFT GGA-PBE
# Distance to the lowest polymorph of the same formula = 0.1 kJ per mole of atoms
# Formation energy from the elements = 0.30 eV/atom
# Symmetry = Imm2 (44)
data_Be2ZnCd
_chemical_formula_sum 'Be2 Zn1 Cd1'
_symmetry_space_group_name_H-M 'P 1'
_symmetry_Int_Tables_number 1
_symmetry_space_group_name_Hall 'P 1'
_cell_length_a 6.038
_cell_length_b 6.038
_cell_length_c 6.038
_cell_angle_alpha 154.92
_cell_angle_beta 141.99
_cell_angle_gamma 46.08
loop_
_atom_site_label
_atom_site_fract_x
_atom_site_fract_y
_atom_site_fract_z
Be1 0.000 0.000 0.000
Be2 0.837 0.337 0.500
Zn1 0.359 0.859 0.500
Cd1 0.623 0.623 0.000

---

Entry 2:
# Be2ZnCd, optimized geometry, DFT GGA-PBE
# Distance to the lowest polymorph of the same formula = 14.9 kJ per mole of atoms
# Formation energy from the elements = 0.45 eV/atom
# Symmetry = R-3m (166)
data_Be2ZnCd
_chemical_formula_sum 'Be2 Zn1 Cd1'
_symmetry_space_group_name_H-M 'P 1'
_symmetry_Int_Tables_number 1
_symmetry_space_group_name_Hall 'P 1'
_cell_length_a 8.288
_cell_length_b 8.288
_cell_length_c 8.288
_cell_angle_alpha 19.52
_cell_angle_beta 19.52
_cell_angle_gamma 19.52
loop_
_atom_site_label
_atom_site_fract_x
_atom_site_fract_y
_atom_site_fract_z
Be1 0.240 0.240 0.240
Be2 0.760 0.760 0.760
Zn1 0.500 0.500 0.500
Cd1 0.000 0.000 0.000

---

Entry 3:
# Be2ZnCd, optimized geometry, DFT GGA-PBE
# Distance to the lowest polymorph of the same formula = 14.1 kJ per mole of atoms
# Formation energy from the elements = 0.45 eV/atom
# Symmetry = Cmmm (65)
data_Be2ZnCd
_chemical_formula_sum 'Be2 Zn1 Cd1'
_symmetry_space_group_name_H-M 'P 1'
_symmetry_Int_Tables_number 1
_symmetry_space_group_name_Hall 'P 1'
_cell_length_a 2.925
_cell_length_b 2.925
_cell_length_c 8.301
_cell_angle_alpha 90.00
_cell_angle_beta 90.00
_cell_angle_gamma 125.61
loop_
_atom_site_label
_atom_site_fract_x
_atom_site_fract_y
_atom_site_fract_z
Be1 0.000 0.000 0.233
Be2 0.000 0.000 0.767
Zn1 0.500 0.500 0.000
Cd1 0.500 0.500 0.500

---

Entry 4:
# BeZnCd2, optimized geometry, DFT GGA-PBE
# Distance to the lowest polymorph of the same formula = 16.3 kJ per mole of atoms
# Formation energy from the elements = 0.38 eV/atom
# Symmetry = Fm-3m (225)
data_BeZnCd2
_chemical_formula_sum 'Be1 Zn1 Cd2'
_symmetry_space_group_name_H-M 'P 1'
_symmetry_Int_Tables_number 1
_symmetry_space_group_name_Hall 'P 1'
_cell_length_a 4.594
_cell_length_b 4.594
_cell_length_c 4.594
_cell_angle_alpha 60.00
_cell_angle_beta 60.00
_cell_angle_gamma 60.00
loop_
_atom_site_label
_atom_site_fract_x
_atom_site_fract_y
_atom_site_fract_z
Be1 0.000 0.000 0.000
Zn1 0.500 0.500 0.500
Cd1 0.250 0.250 0.250
Cd2 0.750 0.750 0.750

---

Entry 5:
# BeZnCd3, optimized geometry, DFT GGA-PBE
# Distance to the lowest polymorph of the same formula = 40.7 kJ per mole of atoms
# Formation energy from the elements = 0.76 eV/atom
# Symmetry = Pm-3m (221)
data_BeZnCd3
_chemical_formula_sum 'Be1 Zn1 Cd3'
_symmetry_space_group_name_H-M 'P 1'
_symmetry_Int_Tables_number 1
_symmetry_space_group_name_Hall 'P 1'
_cell_length_a 5.052
_cell_length_b 5.052
_cell_length_c 5.052
_cell_angle_alpha 90.00
_cell_angle_beta 90.00
_cell_angle_gamma 90.00
loop_
_atom_site_label
_atom_site_fract_x
_atom_site_fract_y
_atom_site_fract_z
Be1 0.000 0.000 0.000
Zn1 0.500 0.500 0.500
Cd1 0.000 0.500 0.500
Cd2 0.500 0.000 0.500
Cd3 0.500 0.500 0.000

---

Entry 6:
# BeZnCd2, optimized geometry, DFT GGA-PBE
# Distance to the lowest polymorph of the same formula = 21.2 kJ per mole of atoms
# Formation energy from the elements = 0.43 eV/atom
# Symmetry = I-42d (122)
data_BeZnCd2
_chemical_formula_sum 'Be2 Zn2 Cd4'
_symmetry_space_group_name_H-M 'P 1'
_symmetry_Int_Tables_number 1
_symmetry_space_group_name_Hall 'P 1'
_cell_length_a 9.481
_cell_length_b 9.481
_cell_length_c 9.481
_cell_angle_alpha 154.76
_cell_angle_beta 154.76
_cell_angle_gamma 36.00
loop_
_atom_site_label
_atom_site_fract_x
_atom_site_fract_y
_atom_site_fract_z
Be1 0.000 0.000 0.000
Be2 0.750 0.250 0.500
Zn1 0.250 0.750 0.500
Zn2 0.500 0.500 0.000
Cd1 0.111 0.625 0.986
Cd2 0.375 0.361 0.486
Cd3 0.639 0.125 0.014
Cd4 0.875 0.889 0.514

---

Entry 7:
# Be2ZnCd, optimized geometry, DFT GGA-PBE
# Distance to the lowest polymorph of the same formula = 0.0 kJ per mole of atoms
# Formation energy from the elements = 0.30 eV/atom
# Symmetry = C2/m (12)
data_Be2ZnCd
_chemical_formula_sum 'Be2 Zn1 Cd1'
_symmetry_space_group_name_H-M 'P 1'
_symmetry_Int_Tables_number 1
_symmetry_space_group_name_Hall 'P 1'
_cell_length_a 4.232
_cell_length_b 4.232
_cell_length_c 6.138
_cell_angle_alpha 111.78
_cell_angle_beta 111.78
_cell_angle_gamma 36.56
loop_
_atom_site_label
_atom_site_fract_x
_atom_site_fract_y
_atom_site_fract_z
Be1 0.233 0.233 0.352
Be2 0.767 0.767 0.648
Zn1 0.000 0.000 0.500
Cd1 0.500 0.500 0.000

---

Entry 8:
# Be2ZnCd, optimized geometry, DFT GGA-PBE
# Distance to the lowest polymorph of the same formula = 21.4 kJ per mole of atoms
# Formation energy from the elements = 0.52 eV/atom
# Symmetry = F-43m (216)
data_Be2ZnCd
_chemical_formula_sum 'Be2 Zn1 Cd1'
_symmetry_space_group_name_H-M 'P 1'
_symmetry_Int_Tables_number 1
_symmetry_space_group_name_Hall 'P 1'
_cell_length_a 4.276
_cell_length_b 4.276
_cell_length_c 4.276
_cell_angle_alpha 60.00
_cell_angle_beta 60.00
_cell_angle_gamma 60.00
loop_
_atom_site_label
_atom_site_fract_x
_atom_site_fract_y
_atom_site_fract_z
Be1 0.000 0.000 0.000
Be2 0.250 0.250 0.250
Zn1 0.500 0.500 0.500
Cd1 0.750 0.750 0.750

---

Entry 9:
# Be2ZnCd, optimized geometry, DFT GGA-PBE
# Distance to the lowest polymorph of the same formula = 10.5 kJ per mole of atoms
# Formation energy from the elements = 0.41 eV/atom
# Symmetry = I4/mmm (139)
data_Be2ZnCd
_chemical_formula_sum 'Be2 Zn1 Cd1'
_symmetry_space_group_name_H-M 'P 1'
_symmetry_Int_Tables_number 1
_symmetry_space_group_name_Hall 'P 1'
_cell_length_a 4.429
_cell_length_b 4.429
_cell_length_c 4.429
_cell_angle_alpha 127.32
_cell_angle_beta 127.32
_cell_angle_gamma 77.73
loop_
_atom_site_label
_atom_site_fract_x
_atom_site_fract_y
_atom_site_fract_z
Be1 0.250 0.750 0.500
Be2 0.750 0.250 0.500
Zn1 0.000 0.000 0.000
Cd1 0.500 0.500 0.000

---

Entry 10:
# BeZnCd2, optimized geometry, DFT GGA-PBE
# Distance to the lowest polymorph of the same formula = 14.0 kJ per mole of atoms
# Formation energy from the elements = 0.36 eV/atom
# Symmetry = Pmmm (47)
data_BeZnCd2
_chemical_formula_sum 'Be1 Zn1 Cd2'
_symmetry_space_group_name_H-M 'P 1'
_symmetry_Int_Tables_number 1
_symmetry_space_group_name_Hall 'P 1'
_cell_length_a 2.788
_cell_length_b 4.572
_cell_length_c 5.739
_cell_angle_alpha 90.00
_cell_angle_beta 90.00
_cell_angle_gamma 90.00
loop_
_atom_site_label
_atom_site_fract_x
_atom_site_fract_y
_atom_site_fract_z
Be1 0.000 0.000 0.000
Zn1 0.500 0.000 0.500
Cd1 0.000 0.500 0.500
Cd2 0.500 0.500 0.000

---

Entry 11:
# BeZnCd2, optimized geometry, DFT GGA-PBE
# Distance to the lowest polymorph of the same formula = 10.8 kJ per mole of atoms
# Formation energy from the elements = 0.33 eV/atom
# Symmetry = C2/m (12)
data_BeZnCd2
_chemical_formula_sum 'Be1 Zn1 Cd2'
_symmetry_space_group_name_H-M 'P 1'
_symmetry_Int_Tables_number 1
_symmetry_space_group_name_Hall 'P 1'
_cell_length_a 4.992
_cell_length_b 4.992
_cell_length_c 5.679
_cell_angle_alpha 110.83
_cell_angle_beta 110.83
_cell_angle_gamma 32.72
loop_
_atom_site_label
_atom_site_fract_x
_atom_site_fract_y
_atom_site_fract_z
Be1 0.000 0.000 0.000
Zn1 0.500 0.500 0.500
Cd1 0.267 0.267 0.765
Cd2 0.733 0.733 0.235

---

Entry 12:
# Be2ZnCd, optimized geometry, DFT GGA-PBE
# Distance to the lowest polymorph of the same formula = 12.7 kJ per mole of atoms
# Formation energy from the elements = 0.43 eV/atom
# Symmetry = Fm-3m (225)
data_Be2ZnCd
_chemical_formula_sum 'Be2 Zn1 Cd1'
_symmetry_space_group_name_H-M 'P 1'
_symmetry_Int_Tables_number 1
_symmetry_space_group_name_Hall 'P 1'
_cell_length_a 4.215
_cell_length_b 4.215
_cell_length_c 4.215
_cell_angle_alpha 60.00
_cell_angle_beta 60.00
_cell_angle_gamma 60.00
loop_
_atom_site_label
_atom_site_fract_x
_atom_site_fract_y
_atom_site_fract_z
Be1 0.250 0.250 0.250
Be2 0.750 0.750 0.750
Zn1 0.000 0.000 0.000
Cd1 0.500 0.500 0.500